# Ca3Zn3Pd2

An optimized crystal structure of Ca3Zn3Pd2 (PBE, Alexandria).

a b c (Å): 5.780 7.945 15.595
angles (deg): 90.00 90.00 90.00
Sites, in units of the cell vectors:
1 Zn 0.101 0.175 0.535
2 Zn 0.899 0.825 0.465
3 Zn 0.899 0.825 0.035
4 Zn 0.101 0.175 0.965
5 Zn 0.392 0.671 0.250
6 Zn 0.601 0.325 0.035
7 Zn 0.601 0.325 0.465
8 Zn 0.892 0.829 0.750
9 Zn 0.399 0.675 0.965
10 Zn 0.399 0.675 0.535
11 Zn 0.108 0.171 0.250
12 Zn 0.608 0.329 0.750
13 Ca 0.383 0.962 0.108
14 Ca 0.883 0.538 0.892
15 Ca 0.883 0.538 0.608
16 Ca 0.617 0.038 0.608
17 Ca 0.117 0.462 0.392
18 Ca 0.117 0.462 0.108
19 Ca 0.375 0.676 0.750
20 Ca 0.617 0.038 0.892
21 Ca 0.383 0.962 0.392
22 Ca 0.875 0.824 0.250
23 Ca 0.125 0.176 0.750
24 Ca 0.625 0.324 0.250
25 Pd 0.381 0.382 0.608
26 Pd 0.119 0.882 0.608
27 Pd 0.881 0.118 0.108
28 Pd 0.881 0.118 0.392
29 Pd 0.381 0.382 0.892
30 Pd 0.119 0.882 0.892
31 Pd 0.619 0.618 0.108
32 Pd 0.619 0.618 0.392

Summary:
The value obtained for the distance to the lowest polymorph of the same formula is 0 meV/atom. As for the formation energy: -0.531 eV per atom. Its density of states at the Fermi level is 16.0 states/eV per cell.

---

# Sr2NdHg6

An optimized crystal structure of Sr2NdHg6 (PBE, Alexandria).

a b c (Å): 3.662 8.870 8.870
angles (deg): 120.00 90.00 90.00
Sites, in units of the cell vectors:
1 Sr 0.000 0.333 0.667
2 Sr 0.000 0.667 0.333
3 Hg 0.500 0.000 0.668
4 Hg 0.500 0.668 0.000
5 Hg 0.500 0.668 0.668
6 Hg 0.500 0.332 0.000
7 Hg 0.500 0.332 0.332
8 Hg 0.500 0.000 0.332
9 Nd 0.000 0.000 0.000

Summary:
As for the formation energy: -0.448 eV per atom. Its density of states at the Fermi level is 5.4 states/eV per cell.

---

# Li2Ga2Cu

An optimized crystal structure of Li2Ga2Cu (PBE, Alexandria).

a b c (Å): 4.251 4.225 5.148
angles (deg): 65.19 65.61 59.79
Sites, in units of the cell vectors:
1 Ga 0.603 0.602 0.191
2 Ga 0.397 0.398 0.809
3 Li 0.197 0.198 0.407
4 Li 0.803 0.802 0.593
5 Cu 0.000 0.000 0.000

Summary:
The value obtained for the distance to the lowest polymorph of the same formula is 0 meV/atom. As for the formation energy: -0.264 eV per atom. Its density of states at the Fermi level is 1.5 states/eV per cell.

---

# TbDyU2S4

An optimized crystal structure of TbDyU2S4 (PBE, Alexandria).

a b c (Å): 3.829 6.646 6.922
angles (deg): 108.62 90.00 90.00
Sites, in units of the cell vectors:
1 Tb 0.500 0.500 0.000
2 S 0.000 0.249 0.751
3 S 0.500 0.248 0.248
4 S 0.500 0.752 0.752
5 S 0.000 0.751 0.249
6 U 0.500 0.000 0.500
7 U 0.000 0.500 0.500
8 Dy 0.000 0.000 0.000

Summary:
The value obtained for the formation energy (no corrections) is -1.6720 eV per atom. Its density of states at the Fermi level is 9.8 states/eV per cell.

---

# Ti3CdRh

An optimized crystal structure of Ti3CdRh (PBE, Alexandria).

a b c (Å): 4.738 4.738 4.738
angles (deg): 90.00 90.00 90.00
Sites, in units of the cell vectors:
1 Rh 0.000 0.000 0.000
2 Ti 0.500 0.000 0.000
3 Ti 0.000 0.000 0.500
4 Ti 0.000 0.500 0.000
5 Cd 0.500 0.500 0.500

Summary:
The value obtained for the distance to the lowest polymorph of the same formula is 0 meV/atom. As for the formation energy: 0.295 eV per atom. Its density of states at the Fermi level is 9.5 states/eV per cell.

---

# ZnAgSb2Te

An optimized crystal structure of ZnAgSb2Te (PBE, Alexandria).

a b c (Å): 5.187 5.187 5.432
angles (deg): 90.00 90.00 90.00
Sites, in units of the cell vectors:
1 Sb 0.000 0.500 0.000
2 Sb 0.500 0.000 0.000
3 Zn 0.000 0.000 0.000
4 Te 0.000 0.000 0.500
5 Ag 0.500 0.500 0.500

Summary:
The value obtained for the formation energy (no corrections) is 0.6174 eV per atom. The value obtained for the distance to the lowest polymorph of the same formula is 0 meV/atom. Its density of states at the Fermi level is 3.9 states/eV per cell.

---

# BaPt2Se

An optimized crystal structure of BaPt2Se (PBE, Alexandria).

a b c (Å): 3.947 4.780 4.798
angles (deg): 90.00 90.00 90.00
Sites, in units of the cell vectors:
1 Ba 0.000 0.500 0.500
2 Se 0.500 0.000 0.500
3 Pt 0.500 0.500 0.000
4 Pt 0.000 0.000 0.000

Summary:
The value obtained for the formation energy (no corrections) is -0.1481 eV per atom. Its density of states at the Fermi level is 3.0 states/eV per cell.

---

# TiNb2VH

An optimized crystal structure of TiNb2VH (PBE, Alexandria).

a b c (Å): 4.469 4.469 3.464
angles (deg): 90.00 90.00 90.00
Sites, in units of the cell vectors:
1 V 0.000 0.000 0.500
2 Ti 0.500 0.500 0.500
3 Nb 0.500 0.000 0.000
4 Nb 0.000 0.500 0.000
5 H 0.000 0.000 0.000

Summary:
For the raw total energy, the calculation gives -8.1166 eV/atom. Its density of states at the Fermi level is 8.2 states/eV per cell.

---

# Dy2Sc2Ge2C

An optimized crystal structure of Dy2Sc2Ge2C (PBE, Alexandria).

a b c (Å): 4.402 4.402 8.164
angles (deg): 105.64 105.64 90.00
Sites, in units of the cell vectors:
1 Sc 0.000 0.500 0.000
2 Sc 0.500 0.000 0.000
3 Ge 0.367 0.367 0.733
4 Ge 0.633 0.633 0.267
5 Dy 0.165 0.165 0.330
6 Dy 0.835 0.835 0.670
7 C 0.000 0.000 0.000

Summary:
As for the formation energy: -0.856 eV per atom. Its density of states at the Fermi level is 0.6 states/eV per cell.

---

# Cd3Re2

An optimized crystal structure of Cd3Re2 (PBE, Alexandria).

a b c (Å): 12.550 12.550 12.550
angles (deg): 13.16 13.16 13.16
Sites, in units of the cell vectors:
1 Cd 0.203 0.203 0.203
2 Cd 0.797 0.797 0.797
3 Cd 0.000 0.000 0.000
4 Re 0.399 0.399 0.399
5 Re 0.601 0.601 0.601

Summary:
As for the formation energy: 0.601 eV per atom. Its density of states at the Fermi level is 4.8 states/eV per cell.

---

# LiZr2P

An optimized crystal structure of LiZr2P (PBE, Alexandria).

a b c (Å): 4.902 4.902 4.902
angles (deg): 130.92 127.38 74.80
Sites, in units of the cell vectors:
1 Zr 0.494 0.494 0.000
2 Zr 0.006 0.006 0.000
3 Li 0.750 0.250 0.500
4 P 0.250 0.750 0.500

Summary:
As for the formation energy: -0.416 eV per atom. Its density of states at the Fermi level is 3.1 states/eV per cell.

---

# SnBOF2

An optimized crystal structure of SnBOF2 (PBE, Alexandria).

a b c (Å): 4.712 4.712 2.722
angles (deg): 90.00 90.00 90.00
Sites, in units of the cell vectors:
1 O 0.000 0.000 0.500
2 F 0.500 0.000 0.000
3 F 0.000 0.500 0.000
4 B 0.000 0.000 0.000
5 Sn 0.500 0.500 0.500

Summary:
The value obtained for the formation energy (no corrections) is -1.2870 eV per atom. The value obtained for the distance to the lowest polymorph of the same formula is 0 meV/atom. Its density of states at the Fermi level is 1.7 states/eV per cell.

---

Q: Which formula does entry 8 have?
A: TiNb2VH